# 1
Compound: NbTlSe2
Source: Alexandria via LeMat-Bulk
Functional: PBE
Structure: optimized geometry

Cell: 3.7978 3.7978 8.9152 Å, 90.00 90.00 120.00°
Fractional coordinates of all 4 atoms:
Se 0.3333 0.6667 0.7282
Se 0.6667 0.3333 0.3081
Nb 0.3333 0.6667 0.4579
Tl 0.0000 0.0000 0.9609

Summary:
* E: -5.12 eV per atom
* D(E_F): 2.924 states/eV/cell
* crystal system: trigonal

# 2
Compound: Ho3Sb2Te
Source: Alexandria via LeMat-Bulk
Functional: PBE
Structure: optimized geometry

Cell: 4.3659 6.1683 7.5394 Å, 114.15 106.83 90.00°
Fractional coordinates of all 6 atoms:
Ho 0.8275 0.3275 0.1550
Ho 0.5000 0.0000 0.5000
Ho 0.1725 0.6725 0.8450
Sb 0.1648 0.1648 0.8297
Sb 0.8352 0.8352 0.1703
Te 0.5000 0.5000 0.5000

Summary:
* offset from the most stable computed form: 0.00 eV per formula unit
* D(E_F): 1.745 states/eV/cell
* crystal system: orthorhombic

# 3
Compound: Mn2TlCrSb
Source: Alexandria via LeMat-Bulk
Functional: PBE
Structure: optimized geometry

Cell: 5.0333 5.1426 5.0333 Å, 90.00 90.00 90.00°
Fractional coordinates of all 5 atoms:
Sb 0.0000 0.0000 0.0000
Cr 0.0000 0.5000 0.0000
Tl 0.5000 0.5000 0.5000
Mn 0.5000 0.0000 0.0000
Mn 0.0000 0.0000 0.5000

Summary:
* E: -6.00 eV per atom
* D(E_F): 5.367 states/eV/cell
* crystal system: tetragonal

# 4
Compound: HoTiMn4
Source: Alexandria via LeMat-Bulk
Functional: PBE
Structure: optimized geometry

Cell: 4.9344 4.9344 4.9344 Å, 60.00 60.00 60.00°
Fractional coordinates of all 6 atoms:
Mn 0.6257 0.6257 0.1228
Mn 0.6257 0.6257 0.6257
Mn 0.1228 0.6257 0.6257
Mn 0.6257 0.1228 0.6257
Ho 0.2500 0.2500 0.2500
Ti 0.0000 0.0000 0.0000

Summary:
* D(E_F): 6.998 states/eV/cell
* energy relative to the elements: -0.09 eV per formula unit
* crystal system: cubic

# 5
Compound: Zr3Al3Cu2
Source: Alexandria via LeMat-Bulk
Functional: PBE
Structure: optimized geometry

Cell: 7.5813 7.5813 2.8008 Å, 90.00 90.00 120.00°
Fractional coordinates of all 8 atoms:
Al 0.4097 0.0000 0.5000
Al 0.5903 0.5903 0.5000
Al 0.0000 0.4097 0.5000
Zr 0.2433 0.2433 0.0000
Zr 0.7567 0.0000 0.0000
Zr 0.0000 0.7567 0.0000
Cu 0.3333 0.6667 0.0000
Cu 0.6667 0.3333 0.0000

Summary:
* offset from the most stable computed form: 0.75 eV per formula unit
* D(E_F): 3.726 states/eV/cell
* energy relative to the elements: -1.97 eV per formula unit
* crystal system: hexagonal

# 6
Compound: Er2Pd3
Source: Alexandria via LeMat-Bulk
Functional: PBE
Structure: optimized geometry

Cell: 4.3967 4.3967 6.9608 Å, 71.59 71.59 60.00°
Fractional coordinates of all 5 atoms:
Pd 0.0000 0.0000 0.0000
Pd 0.1444 0.1444 0.5669
Pd 0.8556 0.8556 0.4331
Er 0.4095 0.4095 0.7716
Er 0.5905 0.5905 0.2284

Summary:
* D(E_F): 2.353 states/eV/cell
* energy relative to the elements: -3.92 eV per formula unit
* crystal system: trigonal

# 7
Compound: K3Tl5Cd6
Source: Alexandria via LeMat-Bulk
Functional: PBE
Structure: optimized geometry

Cell: 5.0964 11.4400 14.8683 Å, 90.00 90.00 90.00°
Fractional coordinates of all 28 atoms:
Tl 0.5000 0.0916 0.1847
Tl 0.5000 0.2885 0.5000
Tl 0.5000 0.4875 0.3486
Tl 0.0000 0.9084 0.3153
Tl 0.5000 0.0916 0.8153
Tl 0.0000 0.7115 0.0000
Tl 0.0000 0.5125 0.8486
Tl 0.0000 0.5125 0.1514
Tl 0.0000 0.9084 0.6847
Tl 0.5000 0.4875 0.6514
K 0.0000 0.2460 0.0000
K 0.5000 0.7472 0.1874
K 0.5000 0.7540 0.5000
K 0.0000 0.2528 0.6874
K 0.0000 0.2528 0.3126
K 0.5000 0.7472 0.8126
Cd 0.0000 0.6367 0.3404
Cd 0.5000 0.3633 0.8404
Cd 0.5000 0.3633 0.1596
Cd 0.5000 0.0415 0.6081
Cd 0.0000 0.9585 0.1081
Cd 0.5000 0.0415 0.3919
Cd 0.5000 0.9636 0.0000
Cd 0.0000 0.0364 0.5000
Cd 0.5000 0.5265 0.0000
Cd 0.0000 0.6367 0.6596
Cd 0.0000 0.4735 0.5000
Cd 0.0000 0.9585 0.8919

Summary:
* D(E_F): 12.730 states/eV/cell
* energy relative to the elements: -0.98 eV per formula unit
* crystal system: orthorhombic

# 8
Compound: CaAg2Pt
Source: Alexandria via LeMat-Bulk
Functional: PBE
Structure: optimized geometry

Cell: 4.8151 4.8151 4.8151 Å, 60.00 60.00 60.00°
Fractional coordinates of all 4 atoms:
Ag 0.0000 0.0000 0.0000
Ag 0.7500 0.7500 0.7500
Pt 0.2500 0.2500 0.2500
Ca 0.5000 0.5000 0.5000

Summary:
* D(E_F): 1.802 states/eV/cell
* energy relative to the elements: -1.24 eV per formula unit
* crystal system: cubic

# 9
Compound: SmPdRh2
Source: Alexandria via LeMat-Bulk
Functional: PBE
Structure: optimized geometry

Cell: 4.0813 4.1344 4.1344 Å, 90.00 90.00 90.00°
Fractional coordinates of all 4 atoms:
Rh 0.0000 0.5000 0.0000
Rh 0.0000 0.0000 0.5000
Sm 0.5000 0.5000 0.5000
Pd 0.5000 0.0000 0.0000

Summary:
* D(E_F): 4.406 states/eV/cell
* energy relative to the elements: -1.93 eV per formula unit
* crystal system: tetragonal

# 10
Compound: PmEu2Ag
Source: Alexandria via LeMat-Bulk
Functional: PBE
Structure: optimized geometry

Cell: 5.1758 4.9300 4.9300 Å, 90.00 90.00 90.00°
Fractional coordinates of all 4 atoms:
Pm 0.5000 0.5000 0.5000
Eu 0.0000 0.0000 0.5000
Eu 0.0000 0.5000 0.0000
Ag 0.5000 0.0000 0.0000

Summary:
* offset from the most stable computed form: 0.50 eV per formula unit
* D(E_F): 5.048 states/eV/cell
* energy relative to the elements: 0.15 eV per formula unit
* crystal system: tetragonal

# 11
Compound: V4MoOs2
Source: Alexandria via LeMat-Bulk
Functional: PBE
Structure: optimized geometry

Cell: 5.1888 5.1888 5.1888 Å, 110.81 108.80 108.80°
Fractional coordinates of all 7 atoms:
V 0.5000 0.0000 0.0000
V 0.0000 0.0000 0.5000
V 0.0000 0.5000 0.0000
V 0.5000 0.5000 0.5000
Os 0.5000 0.0000 0.5000
Os 0.5000 0.5000 0.0000
Mo 0.0000 0.0000 0.0000

Summary:
* offset from the most stable computed form: 0.00 eV per formula unit
* D(E_F): 5.162 states/eV/cell
* energy relative to the elements: 0.27 eV per formula unit
* crystal system: tetragonal

# 12
Compound: K2H6Rh
Source: Alexandria via LeMat-Bulk
Functional: PBE
Structure: optimized geometry

Cell: 4.9939 4.9939 10.9972 Å, 90.00 90.00 90.00°
Fractional coordinates of all 18 atoms:
H 0.1430 0.8570 0.6200
H 0.6430 0.6430 0.8800
H 0.3570 0.3570 0.1200
H 0.1430 0.8570 0.3800
H 0.2352 0.2352 0.5000
H 0.8570 0.1430 0.3800
H 0.7352 0.2648 0.0000
H 0.7648 0.7648 0.5000
H 0.2648 0.7352 0.0000
H 0.3570 0.3570 0.8800
H 0.8570 0.1430 0.6200
H 0.6430 0.6430 0.1200
K 0.0000 0.0000 0.8430
K 0.5000 0.5000 0.3430
K 0.0000 0.0000 0.1570
K 0.5000 0.5000 0.6570
Rh 0.5000 0.5000 0.0000
Rh 0.0000 0.0000 0.5000

Summary:
* E: -3.30 eV per atom
* D(E_F): 11.442 states/eV/cell
* crystal system: tetragonal

Look up the D(E_F) of the eighth one.
1.802 states/eV/cell

Which value of D(E_F) does entry 2 give?
1.745 states/eV/cell

Number 9 is which compound?
SmPdRh2

The highest D(E_F) belongs to which entry?
K3Tl5Cd6